# PBE La2PmI, relaxed
data_La2PmI
_cell_length_a 3.874
_cell_length_b 3.874
_cell_length_c 11.268
_cell_angle_alpha 80.10
_cell_angle_beta 80.10
_cell_angle_gamma 60.00
_space_group_name_H-M_alt 'P 1'
_space_group_IT_number 1
loop_
_space_group_symop_operation_xyz
'x,y,z'
loop_
_atom_site_label
_atom_site_fract_x
_atom_site_fract_y
_atom_site_fract_z
Pm1 0.500 0.500 0.500
I1 0.000 0.000 0.000
La1 0.745 0.745 0.765
La2 0.255 0.255 0.235
# Raw formation energy in eV per atom: -0.43
# Spin magnetization in μB/f.u.: 0.0
# Polymorph energy (0 for the lowest one) in meV per atom: 0
# Fermi-level density of states in states/eV/f.u.: 3.74

***

# PBE PtRhN, relaxed
data_PtRhN
_cell_length_a 2.848
_cell_length_b 2.848
_cell_length_c 5.517
_cell_angle_alpha 90.00
_cell_angle_beta 90.00
_cell_angle_gamma 120.00
_space_group_name_H-M_alt 'P 1'
_space_group_IT_number 1
loop_
_space_group_symop_operation_xyz
'x,y,z'
loop_
_atom_site_label
_atom_site_fract_x
_atom_site_fract_y
_atom_site_fract_z
N1 0.667 0.333 0.193
Pt1 0.667 0.333 0.556
Rh1 0.333 0.667 0.988
# Raw formation energy in eV per atom: 0.34
# Spin magnetization in μB/f.u.: 0.0
# Polymorph energy (0 for the lowest one) in meV per atom: 170
# Fermi-level density of states in states/eV/f.u.: 2.52

***

# PBE Sc5C, relaxed
data_Sc5C
_cell_length_a 5.781
_cell_length_b 5.781
_cell_length_c 5.781
_cell_angle_alpha 60.00
_cell_angle_beta 60.00
_cell_angle_gamma 60.00
_space_group_name_H-M_alt 'P 1'
_space_group_IT_number 1
loop_
_space_group_symop_operation_xyz
'x,y,z'
loop_
_atom_site_label
_atom_site_fract_x
_atom_site_fract_y
_atom_site_fract_z
Sc1 0.250 0.250 0.250
Sc2 0.624 0.624 0.128
Sc3 0.624 0.128 0.624
Sc4 0.624 0.624 0.624
Sc5 0.128 0.624 0.624
C1 0.000 0.000 0.000
# Spin magnetization in μB/f.u.: 1.0
# ΔH_f (0 K) in eV/atom: 1.213
# Polymorph energy (0 for the lowest one) in meV per atom: 1254
# Fermi-level density of states in states/eV/f.u.: 8.60

***

# PBE YHo2Pb, relaxed
data_YHo2Pb
_cell_length_a 3.531
_cell_length_b 3.531
_cell_length_c 12.165
_cell_angle_alpha 81.66
_cell_angle_beta 81.66
_cell_angle_gamma 60.00
_space_group_name_H-M_alt 'P 1'
_space_group_IT_number 1
loop_
_space_group_symop_operation_xyz
'x,y,z'
loop_
_atom_site_label
_atom_site_fract_x
_atom_site_fract_y
_atom_site_fract_z
Pb1 0.000 0.000 0.000
Ho1 0.912 0.912 0.264
Ho2 0.088 0.088 0.736
Y1 0.500 0.500 0.500
# Spin magnetization in μB/f.u.: 0.0
# ΔH_f (0 K) in eV/atom: 0.052
# Polymorph energy (0 for the lowest one) in meV per atom: 323
# Fermi-level density of states in states/eV/f.u.: 4.39

***

# PBE La3Pr3Y5, relaxed
data_La3Pr3Y5
_cell_length_a 5.492
_cell_length_b 9.733
_cell_length_c 9.733
_cell_angle_alpha 120.00
_cell_angle_beta 90.00
_cell_angle_gamma 90.00
_space_group_name_H-M_alt 'P 1'
_space_group_IT_number 1
loop_
_space_group_symop_operation_xyz
'x,y,z'
loop_
_atom_site_label
_atom_site_fract_x
_atom_site_fract_y
_atom_site_fract_z
Y1 0.500 0.729 0.000
Y2 0.500 0.667 0.333
Y3 0.500 0.333 0.667
Y4 0.500 0.000 0.729
Y5 0.500 0.271 0.271
La1 0.500 0.364 0.000
La2 0.500 0.000 0.364
La3 0.500 0.636 0.636
Pr1 0.000 0.000 0.507
Pr2 0.000 0.507 0.000
Pr3 0.000 0.493 0.493
# Spin magnetization in μB/f.u.: 0.0
# ΔH_f (0 K) in eV/atom: 0.718
# Fermi-level density of states in states/eV/f.u.: 18.05

***

# PBE LiInCl2, relaxed
data_LiInCl2
_cell_length_a 4.758
_cell_length_b 4.758
_cell_length_c 8.990
_cell_angle_alpha 90.01
_cell_angle_beta 90.01
_cell_angle_gamma 90.00
_space_group_name_H-M_alt 'P 1'
_space_group_IT_number 1
loop_
_space_group_symop_operation_xyz
'x,y,z'
loop_
_atom_site_label
_atom_site_fract_x
_atom_site_fract_y
_atom_site_fract_z
In1 0.250 0.250 0.815
In2 0.750 0.750 0.185
Cl1 0.250 0.250 0.150
Cl2 0.250 0.750 0.500
Cl3 0.750 0.750 0.850
Cl4 0.750 0.250 0.500
Li1 0.750 0.750 0.579
Li2 0.250 0.250 0.421
# Raw formation energy in eV per atom: -1.28
# Spin magnetization in μB/f.u.: 0.0
# Polymorph energy (0 for the lowest one) in meV per atom: 24
# Fermi-level density of states in states/eV/f.u.: 0.00

***

# PBE Pr6DyHo5, relaxed
data_Pr6DyHo5
_cell_length_a 5.164
_cell_length_b 10.100
_cell_length_c 9.573
_cell_angle_alpha 121.83
_cell_angle_beta 105.64
_cell_angle_gamma 90.02
_space_group_name_H-M_alt 'P 1'
_space_group_IT_number 1
loop_
_space_group_symop_operation_xyz
'x,y,z'
loop_
_atom_site_label
_atom_site_fract_x
_atom_site_fract_y
_atom_site_fract_z
Pr1 0.167 0.417 0.333
Pr2 0.833 0.083 0.667
Pr3 0.167 0.917 0.333
Pr4 0.500 0.750 0.000
Pr5 0.500 0.250 0.000
Pr6 0.833 0.583 0.667
Ho1 0.667 0.167 0.333
Ho2 0.000 0.500 0.000
Ho3 0.333 0.833 0.667
Ho4 0.667 0.667 0.333
Ho5 0.333 0.333 0.667
Dy1 0.000 0.000 0.000
# Spin magnetization in μB/f.u.: 0.0
# ΔH_f (0 K) in eV/atom: 0.017
# Fermi-level density of states in states/eV/f.u.: 16.11

***

# PBE AcCuSnGe, relaxed
data_AcCuSnGe
_cell_length_a 5.169
_cell_length_b 5.169
_cell_length_c 5.169
_cell_angle_alpha 60.00
_cell_angle_beta 60.00
_cell_angle_gamma 60.00
_space_group_name_H-M_alt 'P 1'
_space_group_IT_number 1
loop_
_space_group_symop_operation_xyz
'x,y,z'
loop_
_atom_site_label
_atom_site_fract_x
_atom_site_fract_y
_atom_site_fract_z
Sn1 0.000 0.000 0.000
Cu1 0.250 0.250 0.250
Ac1 0.500 0.500 0.500
Ge1 0.750 0.750 0.750
# Spin magnetization in μB/f.u.: 0.0
# ΔH_f (0 K) in eV/atom: -0.189
# Fermi-level density of states in states/eV/f.u.: 2.20